1.
Np2CoNi12P3 | PBE | optimized geometry

```
data_Np2CoNi12P3
_chemical_formula_sum 'Np6 Co3 Ni36 P9'
_symmetry_space_group_name_H-M 'R -3 m'
_symmetry_Int_Tables_number 166
_symmetry_space_group_name_Hall '-R 3 2"'
_cell_length_a 8.2140
_cell_length_b 8.2140
_cell_length_c 11.9789
_cell_angle_alpha 90.00
_cell_angle_beta 90.00
_cell_angle_gamma 120.00
loop_
_atom_site_label
_atom_site_type_symbol
_atom_site_fract_x
_atom_site_fract_y
_atom_site_fract_z
Np1 Np 0.0000 0.0000 0.0958
Co1 Co 0.0000 0.0000 0.5000
Ni1 Ni 0.0070 0.5035 0.8197
Ni2 Ni 0.0533 0.5266 0.3881
P1 P 0.0000 0.5000 0.0000
```

N(E_F)   51.2 states/eV per cell
E   -355.27 eV per cell

---

2.
Np2Co3NiP4 | PBE | optimized geometry

```
data_Np2Co3NiP4
_chemical_formula_sum 'Np2 Co3 Ni1 P4'
_symmetry_space_group_name_H-M 'P -4 m 2'
_symmetry_Int_Tables_number 115
_symmetry_space_group_name_Hall 'P -4 -2'
_cell_length_a 3.940
_cell_length_b 3.940
_cell_length_c 9.009
_cell_angle_alpha 90.00
_cell_angle_beta 90.00
_cell_angle_gamma 90.00
loop_
_atom_site_label
_atom_site_type_symbol
_atom_site_fract_x
_atom_site_fract_y
_atom_site_fract_z
Np1 Np 0.000 0.500 0.246
Co1 Co 0.000 0.500 0.887
Co2 Co 0.500 0.500 0.500
Ni1 Ni 0.000 0.000 0.500
P1 P 0.000 0.000 0.000
P2 P 0.000 0.500 0.638
P3 P 0.500 0.500 0.000
```

N(E_F)   21.2 states/eV per cell
E   -82.09 eV per cell

---

3.
Np2CoNi3P4 | PBE | optimized geometry

```
data_Np2CoNi3P4
_chemical_formula_sum 'Np2 Co1 Ni3 P4'
_symmetry_space_group_name_H-M 'P -4 m 2'
_symmetry_Int_Tables_number 115
_symmetry_space_group_name_Hall 'P -4 -2'
_cell_length_a 3.991
_cell_length_b 3.991
_cell_length_c 8.961
_cell_angle_alpha 90.00
_cell_angle_beta 90.00
_cell_angle_gamma 90.00
loop_
_atom_site_label
_atom_site_type_symbol
_atom_site_fract_x
_atom_site_fract_y
_atom_site_fract_z
Np1 Np 0.000 0.500 0.247
Co1 Co 0.000 0.000 0.500
Ni1 Ni 0.000 0.500 0.885
Ni2 Ni 0.500 0.500 0.500
P1 P 0.000 0.000 0.000
P2 P 0.000 0.500 0.633
P3 P 0.500 0.500 0.000
```

N(E_F)   19.0 states/eV per cell
E   -79.05 eV per cell

---

4.
NpPaCoNi | PBE | optimized geometry

```
data_NpPaCoNi
_chemical_formula_sum 'Np4 Pa4 Co4 Ni4'
_symmetry_space_group_name_H-M 'F -4 3 m'
_symmetry_Int_Tables_number 216
_symmetry_space_group_name_Hall 'F -4 2 3'
_cell_length_a 6.336
_cell_length_b 6.336
_cell_length_c 6.336
_cell_angle_alpha 90.00
_cell_angle_beta 90.00
_cell_angle_gamma 90.00
loop_
_atom_site_label
_atom_site_type_symbol
_atom_site_fract_x
_atom_site_fract_y
_atom_site_fract_z
Np1 Np 0.000 0.000 0.000
Pa1 Pa 0.250 0.250 0.250
Co1 Co 0.000 0.000 0.500
Ni1 Ni 0.250 0.250 0.750
```

N(E_F)   25.0 states/eV per cell
E   -144.84 eV per cell

---

5.
PuNpCoNi | PBE | optimized geometry

```
data_PuNpCoNi
_chemical_formula_sum 'Pu4 Np4 Co4 Ni4'
_symmetry_space_group_name_H-M 'F -4 3 m'
_symmetry_Int_Tables_number 216
_symmetry_space_group_name_Hall 'F -4 2 3'
_cell_length_a 6.139
_cell_length_b 6.139
_cell_length_c 6.139
_cell_angle_alpha 90.00
_cell_angle_beta 90.00
_cell_angle_gamma 90.00
loop_
_atom_site_label
_atom_site_type_symbol
_atom_site_fract_x
_atom_site_fract_y
_atom_site_fract_z
Pu1 Pu 0.000 0.000 0.000
Np1 Np 0.250 0.250 0.750
Co1 Co 0.000 0.000 0.500
Ni1 Ni 0.250 0.250 0.250
```

N(E_F)   33.6 states/eV per cell
E   -163.19 eV per cell

---

6.
NpCoNiRu | PBE | optimized geometry

```
data_NpCoNiRu
_chemical_formula_sum 'Np4 Co4 Ni4 Ru4'
_symmetry_space_group_name_H-M 'F -4 3 m'
_symmetry_Int_Tables_number 216
_symmetry_space_group_name_Hall 'F -4 2 3'
_cell_length_a 6.178
_cell_length_b 6.178
_cell_length_c 6.178
_cell_angle_alpha 90.00
_cell_angle_beta 90.00
_cell_angle_gamma 90.00
loop_
_atom_site_label
_atom_site_type_symbol
_atom_site_fract_x
_atom_site_fract_y
_atom_site_fract_z
Np1 Np 0.000 0.000 0.000
Co1 Co 0.250 0.250 0.750
Ni1 Ni 0.000 0.000 0.500
Ru1 Ru 0.250 0.250 0.250
```

N(E_F)   27.4 states/eV per cell
E   -138.93 eV per cell

---

7.
NpCoNiSn | PBE | optimized geometry

```
data_NpCoNiSn
_chemical_formula_sum 'Np4 Co4 Ni4 Sn4'
_symmetry_space_group_name_H-M 'F -4 3 m'
_symmetry_Int_Tables_number 216
_symmetry_space_group_name_Hall 'F -4 2 3'
_cell_length_a 6.476
_cell_length_b 6.476
_cell_length_c 6.476
_cell_angle_alpha 90.00
_cell_angle_beta 90.00
_cell_angle_gamma 90.00
loop_
_atom_site_label
_atom_site_type_symbol
_atom_site_fract_x
_atom_site_fract_y
_atom_site_fract_z
Np1 Np 0.000 0.000 0.000
Co1 Co 0.250 0.250 0.250
Ni1 Ni 0.250 0.250 0.750
Sn1 Sn 0.000 0.000 0.500
```

N(E_F)   27.4 states/eV per cell
E   -120.37 eV per cell